Computed, not measured: a relaxed structure of CuSi2Tc at the PBE level of DFT.

The calculation puts the uncorrected formation energy at 0.153 eV per atom. For the size of the total moment, the calculation gives 0.00 μB/cell.

Structure (extended XYZ):
```
4
Lattice="-3.320 -6.142 -3.546 -3.260 -7.073 -0.815 -5.421 -5.384 -1.717" Properties=species:S:1:pos:R:3 pbc="T T T"
Cu -8.936 -13.848 -4.525
Tc -6.055 -9.383 -3.066
Si -2.998 -4.647 -1.518
Si -0.013 -0.021 -0.007
```